An optimized crystal structure of HoTm2Ir. Source: the Alexandria database, functional GGA-PBE.

Results
Distance to the lowest polymorph of the same formula in eV per formula unit: 0.70

Lattice parameters (Å, degrees): 3.4283 3.4283 8.7102 90.00 90.00 90.00
With the nearest neighbours (Å) after each atom.
Sites, in units of the cell vectors:
Tm  0.0000  0.0000  0.1864  4 Ir 2.92, 1 Tm 3.25
Tm  0.0000  0.0000  0.8136  4 Ir 2.92, 1 Tm 3.25
Ir  0.5000  0.5000  0.0000  8 Tm 2.92
Ho  0.5000  0.5000  0.5000  4 Ho 3.43, 8 Tm 3.65

An optimized crystal structure of HoTmIr. Source: the Alexandria database, functional GGA-PBE.

Results
Distance to the lowest polymorph of the same formula in eV per formula unit: 0.26

Lattice parameters (Å, degrees): 6.4139 6.9277 7.5590 90.15 90.00 90.00
With the nearest neighbours (Å) after each atom.
Sites, in units of the cell vectors:
Ho  0.7376  0.4227  0.3928  3 Ir 2.75-2.77
Ho  0.2624  0.5773  0.6072  3 Ir 2.75-2.77
Ho  0.2376  0.5773  0.1072  3 Ir 2.75-2.77
Ho  0.7624  0.4227  0.8928  3 Ir 2.75-2.77
Ir  0.4979  0.2486  0.6526  3 Tm 2.74-2.75, 3 Ho 2.75-2.77
Ir  0.0021  0.2486  0.1526  3 Tm 2.74-2.75, 3 Ho 2.75-2.77
Ir  0.9979  0.7514  0.8474  3 Tm 2.74-2.75, 3 Ho 2.75-2.77
Ir  0.5021  0.7514  0.3474  3 Tm 2.74-2.75, 3 Ho 2.75-2.77
Tm  0.7632  0.9246  0.1083  3 Ir 2.74-2.75
Tm  0.2368  0.0754  0.8917  3 Ir 2.74-2.75
Tm  0.2632  0.0754  0.3917  3 Ir 2.74-2.75
Tm  0.7368  0.9246  0.6083  3 Ir 2.74-2.75

An optimized crystal structure of Ho2TmIr3. Source: the Alexandria database, functional GGA-PBE.

Results
Distance to the lowest polymorph of the same formula in eV per formula unit: 2.31

Lattice parameters (Å, degrees): 4.6689 5.5784 6.1143 117.14 112.45 90.00
With the nearest neighbours (Å) after each atom.
Sites, in units of the cell vectors:
Ir  0.0000  0.0000  0.0000  2 Tm 2.79, 4 Ho 2.86
Ir  0.6607  0.6607  0.3213  4 Ho 2.79-2.88, 2 Tm 2.82
Ir  0.3393  0.3393  0.6787  4 Ho 2.79-2.88, 2 Tm 2.82
Ho  0.3319  0.8319  0.6639  6 Ir 2.79-2.88
Ho  0.6681  0.1681  0.3361  6 Ir 2.79-2.88
Tm  0.0000  0.5000  0.0000  6 Ir 2.79-2.82

An optimized crystal structure of Ho2Tm3Ir2. Source: the Alexandria database, functional GGA-PBE.

Lattice parameters (Å, degrees): 3.8192 6.2345 8.7297 114.77 90.00 107.84
With the nearest neighbours (Å) after each atom.
Sites, in units of the cell vectors:
Ho  0.1660  0.3321  0.8066  2 Ir 2.81
Ho  0.8340  0.6679  0.1934  2 Ir 2.81
Ir  0.8246  0.6492  0.7651  2 Ho 2.81, 5 Tm 2.84-2.90
Ir  0.1754  0.3508  0.2349  2 Ho 2.81, 5 Tm 2.84-2.90
Tm  0.5000  0.0000  0.0000  4 Ir 2.90
Tm  0.3805  0.7610  0.5682  3 Ir 2.84-2.86
Tm  0.6195  0.2390  0.4318  3 Ir 2.84-2.86

no.,energy of formation (eV/atom)
1,-0.45
2,-0.66
3,-0.49
4,-0.67